1.
NiTeSe2: relaxed, GGA-PBE.

Cell: 4.1102 4.1102 6.2887 Å, 90.00 90.00 120.00°
Space group P3m1 (No. 156)
Symmetry-distinct sites (fractional):
Ni 0.0000 0.0000 0.0000 (multiplicity 1)
Te 0.6667 0.3333 0.6271 (multiplicity 1)
Se 0.0000 0.0000 0.3602 (multiplicity 1)
Se 0.3333 0.6667 0.9474 (multiplicity 1)

## Properties
The total energy comes out at -15.73 eV per cell. Its formation energy (no corrections) is 16 kJ/mol of formula units.

2.
NiTe2Se: relaxed, GGA-PBE.

Cell: 2.992 3.596 8.180 Å, 90.00 90.00 90.00°
Space group Pmmm (No. 47)
Symmetry-distinct sites (fractional):
Ni 0.000 0.000 0.000 (multiplicity 1)
Te 0.500 0.500 0.192 (multiplicity 2)
Se 0.000 0.000 0.500 (multiplicity 1)

## Properties
The total energy comes out at -14.41 eV per cell. Its formation energy (no corrections) is 110 kJ/mol of formula units.

3.
Ni3TeSe: relaxed, GGA-PBE.

Cell: 4.692 4.692 4.692 Å, 90.00 90.00 90.00°
Space group Pm-3m (No. 221)
Symmetry-distinct sites (fractional):
Ni 0.000 0.000 0.500 (multiplicity 3)
Te 0.000 0.000 0.000 (multiplicity 1)
Se 0.500 0.500 0.500 (multiplicity 1)

## Properties
The total energy comes out at -19.87 eV per cell. Its formation energy (no corrections) is 396 kJ/mol of formula units.

4.
Ni2TeSe: relaxed, GGA-PBE.

Cell: 3.749 3.580 9.776 Å, 90.00 90.00 90.00°
Space group Amm2 (No. 38)
Symmetry-distinct sites (fractional):
Ni 0.000 0.000 0.000 (multiplicity 2)
Ni 0.500 0.000 0.192 (multiplicity 2)
Te 0.000 0.000 0.733 (multiplicity 2)
Se 0.500 0.000 0.449 (multiplicity 2)

## Properties
The total energy comes out at -36.55 eV per cell. Its formation energy (no corrections) is -8 kJ/mol of formula units.

5.
NiTe2Se: relaxed, GGA-PBE.

Cell: 3.742 5.485 8.670 Å, 90.00 90.00 90.00°
Space group Amm2 (No. 38)
Symmetry-distinct sites (fractional):
Ni 0.000 0.000 0.000 (multiplicity 2)
Te 0.000 0.000 0.499 (multiplicity 2)
Te 0.500 0.000 0.795 (multiplicity 2)
Se 0.500 0.000 0.178 (multiplicity 2)

## Properties
The total energy comes out at -31.75 eV per cell. Its formation energy (no corrections) is -31 kJ/mol of formula units.

6.
NiTeSe2: relaxed, GGA-PBE.

Cell: 8.635 7.338 6.450 Å, 90.00 115.66 90.00°
Space group C2/c (No. 15)
Symmetry-distinct sites (fractional):
Ni 0.000 0.117 0.250 (multiplicity 4)
Te 0.000 0.470 0.250 (multiplicity 4)
Se 0.155 0.110 0.649 (multiplicity 8)

## Properties
The total energy comes out at -64.84 eV per cell. Its formation energy (no corrections) is -31 kJ/mol of formula units.

7.
Ni2TeSe: relaxed, GGA-PBE.

Cell: 4.043 6.634 6.716 Å, 105.78 107.29 90.30°
Space group P1 (No. 1)
Symmetry-distinct sites (fractional):
Ni 0.000 0.000 0.000 (multiplicity 1)
Ni 0.212 0.027 0.415 (multiplicity 1)
Ni 0.501 0.552 0.993 (multiplicity 1)
Ni 0.752 0.264 0.492 (multiplicity 1)
Te 0.549 0.221 0.096 (multiplicity 1)
Te 0.803 0.925 0.601 (multiplicity 1)
Se 0.068 0.710 0.125 (multiplicity 1)
Se 0.318 0.413 0.623 (multiplicity 1)

## Properties
The total energy comes out at -37.86 eV per cell. Its formation energy (no corrections) is -71 kJ/mol of formula units.

8.
NiTeSe2: relaxed, GGA-PBE.

Cell: 3.740 6.110 7.644 Å, 90.00 97.08 90.00°
Space group P2_1 (No. 4)
Symmetry-distinct sites (fractional):
Ni 0.221 0.000 0.354 (multiplicity 2)
Te 0.011 0.347 0.190 (multiplicity 2)
Se 0.257 0.632 0.470 (multiplicity 2)
Se 0.296 0.409 0.858 (multiplicity 2)

## Properties
The total energy comes out at -32.58 eV per cell. Its formation energy (no corrections) is -38 kJ/mol of formula units.

9.
Ni2TeSe: relaxed, GGA-PBE.

Cell: 3.9354 3.9354 18.5200 Å, 90.00 90.00 120.00°
Space group R3m (No. 160, hexagonal axes)
Symmetry-distinct sites (fractional):
Ni 0.0000 0.0000 0.0000 (multiplicity 3)
Ni 0.0000 0.0000 0.4776 (multiplicity 3)
Te 0.0000 0.0000 0.6117 (multiplicity 3)
Se 0.0000 0.0000 0.1234 (multiplicity 3)

## Properties
The total energy comes out at -56.44 eV per cell. Its formation energy (no corrections) is -60 kJ/mol of formula units.

10.
NiTe2Se: relaxed, GGA-PBE.

Cell: 3.718 3.943 8.232 Å, 90.00 90.00 90.00°
Space group Pmmm (No. 47)
Symmetry-distinct sites (fractional):
Ni 0.000 0.000 0.000 (multiplicity 1)
Te 0.000 0.500 0.500 (multiplicity 1)
Te 0.500 0.500 0.000 (multiplicity 1)
Se 0.500 0.000 0.500 (multiplicity 1)

## Properties
The total energy comes out at -13.93 eV per cell. Its formation energy (no corrections) is 156 kJ/mol of formula units.

11.
NiTe2Se: relaxed, GGA-PBE.

Cell: 5.090 5.090 3.284 Å, 90.00 90.00 90.00°
Space group P4/mmm (No. 123)
Symmetry-distinct sites (fractional):
Ni 0.000 0.000 0.000 (multiplicity 1)
Te 0.000 0.500 0.500 (multiplicity 2)
Se 0.500 0.500 0.000 (multiplicity 1)

## Properties
The total energy comes out at -13.65 eV per cell. Its formation energy (no corrections) is 183 kJ/mol of formula units.

12.
NiTeSe2: relaxed, GGA-PBE.

Cell: 6.995 3.885 12.970 Å, 90.00 90.00 90.00°
Space group Pnma (No. 62)
Symmetry-distinct sites (fractional):
Ni 0.060 0.250 0.111 (multiplicity 4)
Te 0.066 0.750 0.356 (multiplicity 4)
Se 0.164 0.750 0.027 (multiplicity 4)
Se 0.185 0.750 0.741 (multiplicity 4)

## Properties
The total energy comes out at -63.64 eV per cell. Its formation energy (no corrections) is -2 kJ/mol of formula units.

13.
NiTe2Se: relaxed, GGA-PBE.

Cell: 3.8603 3.8603 20.8012 Å, 90.00 90.00 120.00°
Space group R-3m (No. 166, hexagonal axes)
Symmetry-distinct sites (fractional):
Ni 0.0000 0.0000 0.0000 (multiplicity 3)
Te 0.0000 0.0000 0.2685 (multiplicity 6)
Se 0.0000 0.0000 0.5000 (multiplicity 3)

## Properties
The total energy comes out at -47.43 eV per cell. Its formation energy (no corrections) is -25 kJ/mol of formula units.

14.
NiTeSe2: relaxed, GGA-PBE.

Cell: 2.952 2.952 11.335 Å, 90.00 90.00 90.00°
Space group P4/mmm (No. 123)
Symmetry-distinct sites (fractional):
Ni 0.000 0.000 0.000 (multiplicity 1)
Te 0.000 0.000 0.500 (multiplicity 1)
Se 0.500 0.500 0.141 (multiplicity 2)

## Properties
The total energy comes out at -15.25 eV per cell. Its formation energy (no corrections) is 62 kJ/mol of formula units.

15.
Th4NiTeSe2: relaxed, GGA-PBE.

Cell: 7.312 4.158 7.660 Å, 90.00 108.46 90.00°
Space group P2/m (No. 10)
Symmetry-distinct sites (fractional):
Th 0.229 0.000 0.216 (multiplicity 2)
Th 0.258 0.500 0.775 (multiplicity 2)
Ni 0.000 0.500 0.000 (multiplicity 1)
Te 0.000 0.000 0.500 (multiplicity 1)
Se 0.500 0.000 0.000 (multiplicity 1)
Se 0.500 0.500 0.500 (multiplicity 1)

## Properties
The total energy comes out at -54.40 eV per cell. Its formation energy (no corrections) is -852 kJ/mol of formula units.

16.
Th8NiTe4Se3: relaxed, GGA-PBE.

Cell: 8.5108 8.5108 22.1333 Å, 90.00 90.00 120.00°
Space group R-3m (No. 166, hexagonal axes)
Symmetry-distinct sites (fractional):
Th 0.0000 0.0000 0.2412 (multiplicity 6)
Th 0.0153 0.5077 0.2383 (multiplicity 18)
Ni 0.0000 0.0000 0.5000 (multiplicity 3)
Te 0.0000 0.0000 0.0000 (multiplicity 3)
Te 0.0000 0.5000 0.0000 (multiplicity 9)
Se 0.0000 0.5000 0.5000 (multiplicity 9)

## Properties
The total energy comes out at -320.79 eV per cell. Its formation energy (no corrections) is -1811 kJ/mol of formula units.

17.
Tl2NiTeSe4: relaxed, GGA-PBE.

Cell: 5.099 15.822 22.810 Å, 90.00 90.00 90.00°
Space group Fddd (No. 70, origin choice 2)
Symmetry-distinct sites (fractional):
Tl 0.125 0.125 0.309 (multiplicity 16)
Ni 0.125 0.125 0.625 (multiplicity 8)
Te 0.125 0.125 0.125 (multiplicity 8)
Se 0.086 0.270 0.804 (multiplicity 32)

## Properties
The total energy comes out at -226.25 eV per cell. Its formation energy (no corrections) is -66 kJ/mol of formula units.

18.
Tl2NiTe2Se6: relaxed, GGA-PBE.

Cell: 6.930 11.912 8.044 Å, 90.00 107.95 90.00°
Space group C2/m (No. 12)
Symmetry-distinct sites (fractional):
Tl 0.000 0.177 0.000 (multiplicity 4)
Ni 0.000 0.000 0.500 (multiplicity 2)
Te 0.000 0.332 0.500 (multiplicity 4)
Se 0.220 0.149 0.696 (multiplicity 8)
Se 0.227 0.000 0.307 (multiplicity 4)

## Properties
The total energy comes out at -78.39 eV per cell. Its formation energy (no corrections) is -144 kJ/mol of formula units.

19.
TlNi2TeSe: relaxed, GGA-PBE.

Cell: 7.560 3.864 8.156 Å, 90.00 103.33 90.00°
Space group P2_1/m (No. 11)
Symmetry-distinct sites (fractional):
Tl 0.192 0.250 0.437 (multiplicity 2)
Ni 0.132 0.750 0.003 (multiplicity 2)
Ni 0.386 0.250 0.014 (multiplicity 2)
Te 0.434 0.750 0.219 (multiplicity 2)
Se 0.088 0.250 0.832 (multiplicity 2)

## Properties
The total energy comes out at -43.11 eV per cell. Its formation energy (no corrections) is -96 kJ/mol of formula units.

20.
VNi2TeSe: relaxed, GGA-PBE.

Cell: 4.284 4.284 5.934 Å, 90.00 90.00 90.00°
Space group P4/mmm (No. 123)
Symmetry-distinct sites (fractional):
V 0.000 0.000 0.000 (multiplicity 1)
Ni 0.000 0.500 0.500 (multiplicity 2)
Te 0.500 0.500 0.000 (multiplicity 1)
Se 0.500 0.500 0.500 (multiplicity 1)

## Properties
The total energy comes out at -24.15 eV per cell. Its formation energy (no corrections) is 305 kJ/mol of formula units.